[1]
Material: EuPuSbBr
Method: DFT, GGA-PBE
State: optimized geometry

Properties
Total DFT energy (no corrections) ... -8.514 eV per atom

a b c (Å): 5.474 5.474 5.474
angles (deg): 60.00 60.00 60.00
Positions (direct):
1 Eu 0.250 0.250 0.250
2 Sb 0.000 0.000 0.000
3 Br 0.500 0.500 0.500
4 Pu 0.750 0.750 0.750

[2]
Material: AlIr3S
Method: DFT, GGA-PBE
State: optimized geometry

Properties
Distance to the lowest polymorph of the same formula ... 0.000 eV/atom

a b c (Å): 4.405 4.405 4.405
angles (deg): 90.00 90.00 90.00
Positions (direct):
1 S 0.000 0.000 0.000
2 Ir 0.000 0.500 0.000
3 Ir 0.000 0.000 0.500
4 Ir 0.500 0.000 0.000
5 Al 0.500 0.500 0.500

[3]
Material: Rb2SnHg2I4
Method: DFT, GGA-PBE
State: optimized geometry

Properties
Total DFT energy (no corrections) ... -2.229 eV per atom

a b c (Å): 7.899 7.899 7.899
angles (deg): 108.82 109.80 109.80
Positions (direct):
1 Rb 0.500 0.750 0.250
2 Rb 0.500 0.250 0.750
3 Sn 0.000 0.000 0.000
4 Hg 0.000 0.671 0.671
5 Hg 0.000 0.329 0.329
6 I 0.000 0.755 0.245
7 I 0.511 0.755 0.755
8 I 0.000 0.245 0.755
9 I 0.489 0.245 0.245

[4]
Material: Ce2TaCrN5
Method: DFT, GGA-PBE
State: optimized geometry

Properties
Total DFT energy (no corrections) ... -9.509 eV per atom

a b c (Å): 3.278 6.770 10.228
angles (deg): 90.00 90.00 104.01
Positions (direct):
1 Ce 0.858 0.716 0.801
2 Ce 0.110 0.220 0.691
3 Ce 0.142 0.284 0.301
4 Ce 0.890 0.780 0.191
5 Ta 0.790 0.579 0.509
6 Ta 0.210 0.421 0.009
7 Cr 0.523 0.046 0.964
8 Cr 0.477 0.954 0.464
9 N 0.366 0.732 0.000
10 N 0.680 0.361 0.877
11 N 0.491 0.982 0.787
12 N 0.284 0.569 0.650
13 N 0.955 0.909 0.545
14 N 0.634 0.268 0.500
15 N 0.320 0.639 0.377
16 N 0.509 0.018 0.287
17 N 0.716 0.431 0.150
18 N 0.045 0.091 0.045

[5]
Material: MgHS2
Method: DFT, GGA-PBE
State: optimized geometry

Properties
Distance to the lowest polymorph of the same formula ... 0.000 eV/atom

a b c (Å): 6.075 6.075 6.075
angles (deg): 37.49 37.49 37.49
Positions (direct):
1 H 0.000 0.000 0.000
2 S 0.906 0.906 0.906
3 S 0.094 0.094 0.094
4 Mg 0.500 0.500 0.500

[6]
Material: YTm2Zn3
Method: DFT, GGA-PBE
State: optimized geometry

Properties
E_form ... -0.35 eV per atom

a b c (Å): 3.549 4.997 7.918
angles (deg): 108.39 90.00 90.00
Positions (direct):
1 Y 0.000 0.000 0.000
2 Tm 0.000 0.333 0.667
3 Tm 0.000 0.667 0.333
4 Zn 0.500 0.500 0.000
5 Zn 0.500 0.831 0.661
6 Zn 0.500 0.169 0.339

[7]
Material: B4I2Cl
Method: DFT, GGA-PBE
State: optimized geometry

Properties
Total DFT energy (no corrections) ... -2.374 eV per atom

a b c (Å): 3.941 3.941 9.034
angles (deg): 77.40 77.40 90.00
Positions (direct):
1 I 0.669 0.669 0.663
2 I 0.331 0.331 0.337
3 B 0.806 0.806 0.387
4 B 0.194 0.194 0.613
5 B 0.000 0.500 0.000
6 B 0.500 0.000 0.000
7 Cl 0.000 0.000 0.000

[8]
Material: Pu3Fe2
Method: DFT, GGA-PBE
State: optimized geometry

Properties
E_form ... 0.17 eV per atom

a b c (Å): 6.440 6.440 6.979
angles (deg): 62.53 62.53 60.00
Positions (direct):
1 Fe 0.825 0.825 0.526
2 Fe 0.325 0.325 0.026
3 Fe 0.175 0.175 0.474
4 Fe 0.675 0.675 0.974
5 Pu 0.119 0.750 0.750
6 Pu 0.750 0.381 0.750
7 Pu 0.381 0.119 0.750
8 Pu 0.250 0.619 0.250
9 Pu 0.619 0.881 0.250
10 Pu 0.881 0.250 0.250

[9]
Material: TmTiIn
Method: DFT, GGA-PBE
State: optimized geometry

Properties
E_form ... -0.03 eV per atom

a b c (Å): 3.295 4.997 4.997
angles (deg): 120.00 90.00 90.00
Positions (direct):
1 Tm 0.667 0.667 0.333
2 Ti 0.167 0.333 0.667
3 In 0.166 0.000 0.000

[10]
Material: ZrCd2In2
Method: DFT, GGA-PBE
State: optimized geometry

Properties
E_form ... 0.09 eV per atom
Distance to the lowest polymorph of the same formula ... 0.000 eV/atom

a b c (Å): 8.204 8.204 3.463
angles (deg): 90.00 90.00 90.00
Positions (direct):
1 Cd 0.376 0.876 0.000
2 Cd 0.876 0.624 0.000
3 Cd 0.624 0.124 0.000
4 Cd 0.124 0.376 0.000
5 Zr 0.000 0.000 0.000
6 Zr 0.500 0.500 0.000
7 In 0.178 0.678 0.500
8 In 0.678 0.822 0.500
9 In 0.822 0.322 0.500
10 In 0.322 0.178 0.500

[11]
Material: LiBeHg2
Method: DFT, GGA-PBE
State: optimized geometry

Properties
E_form ... 0.17 eV per atom

a b c (Å): 5.238 5.238 5.238
angles (deg): 135.81 135.81 64.28
Positions (direct):
1 Be 0.750 0.250 0.500
2 Hg 0.000 0.000 0.000
3 Hg 0.250 0.750 0.500
4 Li 0.500 0.500 0.000

[12]
Material: CaTl2Fe
Method: DFT, GGA-PBE
State: optimized geometry

Properties
E_form ... 0.41 eV per atom

a b c (Å): 9.942 9.942 9.942
angles (deg): 20.38 20.38 20.38
Positions (direct):
1 Tl 0.010 0.010 0.010
2 Tl 0.252 0.252 0.252
3 Ca 0.491 0.491 0.491
4 Fe 0.747 0.747 0.747

[13]
Material: SmTiRu
Method: DFT, GGA-PBE
State: optimized geometry

Properties
E_form ... -0.30 eV per atom

a b c (Å): 4.192 6.902 13.023
angles (deg): 92.23 90.00 90.00
Positions (direct):
1 Sm 0.750 0.502 0.373
2 Sm 0.250 0.014 0.709
3 Sm 0.750 0.986 0.291
4 Sm 0.750 0.633 0.081
5 Sm 0.250 0.498 0.627
6 Sm 0.250 0.367 0.919
7 Ru 0.250 0.812 0.898
8 Ru 0.750 0.308 0.762
9 Ru 0.750 0.789 0.565
10 Ru 0.750 0.188 0.102
11 Ru 0.250 0.211 0.435
12 Ru 0.250 0.692 0.238
13 Ti 0.250 0.974 0.082
14 Ti 0.250 0.860 0.463
15 Ti 0.750 0.659 0.802
16 Ti 0.750 0.140 0.537
17 Ti 0.250 0.341 0.198
18 Ti 0.750 0.026 0.918

[14]
Material: K2SrBr
Method: DFT, GGA-PBE
State: optimized geometry

Properties
Distance to the lowest polymorph of the same formula ... 0.000 eV/atom

a b c (Å): 12.173 12.173 12.173
angles (deg): 21.15 21.15 21.15
Positions (direct):
1 Br 0.750 0.750 0.750
2 K 0.025 0.025 0.025
3 K 0.475 0.475 0.475
4 Sr 0.250 0.250 0.250

Number 1: V 116 Å³/f.u.. Number 2: V 85 Å³/f.u.. Number 3: V 379 Å³/f.u.. Number 4: V 110 Å³/f.u.. Number 5: V 74 Å³/f.u.. Number 6: V 133 Å³/f.u.. Number 7: V 133 Å³/f.u.. Number 8: V 106 Å³/f.u.. Number 9: V 71 Å³/f.u.. Number 10: V 117 Å³/f.u.. Number 11: V 69 Å³/f.u.. Number 12: V 104 Å³/f.u.. Number 13: V 63 Å³/f.u.. Number 14: V 206 Å³/f.u..